Density functional theory data (GGA-PBE) for a geometry-optimized PmInReO6 structure.

Lattice parameters (Å, degrees): 5.5412 5.5412 4.6021 90.00 90.00 120.00
Space group P312 (No. 149)
Inequivalent atoms, fractional coordinates:
Pm (0.0000, 0.0000, 0.0000)
In (0.6667, 0.3333, 0.5000)
Re (0.3333, 0.6667, 0.0000)
O (0.0370, 0.3834, 0.2391)

Results
Spin magnetization in μB/atom: 0.0968
Formation energy (no corrections) in meV/atom: -1915
D(E_F) in states/eV/cell: 4.09

***

Density functional theory data (GGA-PBE) for a geometry-optimized Tb3Nd2Tm6 structure.

Lattice parameters (Å, degrees): 6.0729 10.5323 11.6168 90.00 100.10 90.00
Space group C2/m (No. 12)
Inequivalent atoms, fractional coordinates:
Tb (0.0000, 0.0000, 0.0000)
Tb (0.0000, 0.3354, 0.0000)
Nd (0.0000, 0.1667, 0.5000)
Tm (0.2492, 0.1666, 0.2473)
Tm (0.2491, 0.5000, 0.2474)

Results
Offset from the most stable computed form in eV per atom: 0.000
Spin magnetization in μB/atom: 0.0001
Energy relative to the elements in eV/atom: 0.1870
D(E_F) in states/eV/cell: 33.61

***

Density functional theory data (GGA-PBE) for a geometry-optimized Ac3Nd8Sm2 structure.

Lattice parameters (Å, degrees): 12.0844 22.1021 3.6768 90.00 90.00 90.00
Space group Pbam (No. 55)
Inequivalent atoms, fractional coordinates:
Ac (0.0000, 0.0000, 0.0000)
Ac (0.1416, 0.2995, 0.0000)
Nd (0.0464, 0.4312, 0.5000)
Nd (0.0576, 0.1567, 0.0000)
Nd (0.1350, 0.7121, 0.5000)
Nd (0.2090, 0.5545, 0.0000)
Sm (0.1777, 0.8991, 0.5000)

Results
Offset from the most stable computed form in eV per atom: 0.000
Spin magnetization in μB/atom: 0.0000
Energy relative to the elements in eV/atom: 0.1630
D(E_F) in states/eV/cell: 35.73

***

Density functional theory data (GGA-PBE) for a geometry-optimized LiMg2SiO4 structure.

Lattice parameters (Å, degrees): 4.6883 4.6883 8.7319 90.00 90.00 90.00
Space group I-42m (No. 121)
Inequivalent atoms, fractional coordinates:
Li (0.0000, 0.0000, 0.0000)
Mg (0.0000, 0.5000, 0.2500)
Si (0.0000, 0.0000, 0.5000)
O (0.2070, 0.2070, 0.3880)

Results
Spin magnetization in μB/atom: 0.0000
Formation energy (no corrections) in meV/atom: -2337
D(E_F) in states/eV/cell: 1.12

***

Density functional theory data (GGA-PBE) for a geometry-optimized BiPbS2 structure.

Lattice parameters (Å, degrees): 5.8619 5.8619 15.5428 90.00 90.00 90.00
Space group I-42d (No. 122)
Inequivalent atoms, fractional coordinates:
Bi (0.0000, 0.0000, 0.0000)
Pb (0.0000, 0.0000, 0.5000)
S (0.2326, 0.2500, 0.1250)

Results
Spin magnetization in μB/atom: 0.0000
Formation energy (no corrections) in meV/atom: -142
D(E_F) in states/eV/cell: 6.03

***

Density functional theory data (GGA-PBE) for a geometry-optimized Ba3Ga8Pt3 structure.

Lattice parameters (Å, degrees): 4.4836 11.3451 12.8239 90.00 90.00 90.00
Space group Immm (No. 71)
Inequivalent atoms, fractional coordinates:
Ba (0.0000, 0.0000, 0.0000)
Ba (0.0000, 0.0000, 0.3226)
Ga (0.0000, 0.2948, 0.1056)
Ga (0.0000, 0.3318, 0.3144)
Pt (0.0000, 0.2555, 0.5000)
Pt (0.0000, 0.5000, 0.0000)

Results
Offset from the most stable computed form in eV per atom: 0.000
Spin magnetization in μB/atom: 0.0000
Energy relative to the elements in eV/atom: -0.5866
D(E_F) in states/eV/cell: 7.99

***

Density functional theory data (GGA-PBE) for a geometry-optimized LaPrDyY3 structure.

Lattice parameters (Å, degrees): 5.9421 11.4881 11.8921 90.00 90.00 90.00
Space group Cmcm (No. 63)
Inequivalent atoms, fractional coordinates:
La (0.0000, 0.0011, 0.2500)
Pr (0.0000, 0.5000, 0.0000)
Dy (0.0000, 0.3276, 0.7500)
Y (0.0000, 0.1739, 0.5011)
Y (0.0000, 0.3271, 0.2500)

Results
Spin magnetization in μB/atom: 0.0000
Energy relative to the elements in eV/atom: 0.1023
D(E_F) in states/eV/cell: 50.66

***

Density functional theory data (GGA-PBE) for a geometry-optimized Pm7In2Ga structure.

Lattice parameters (Å, degrees): 11.1138 11.1138 11.1138 90.00 90.00 90.00
Space group Fm-3m (No. 225)
Inequivalent atoms, fractional coordinates:
Pm (0.0000, 0.0000, 0.0000)
Pm (0.0000, 0.0000, 0.2535)
In (0.2500, 0.2500, 0.2500)
Ga (0.0000, 0.0000, 0.5000)

Results
Spin magnetization in μB/atom: 0.0000
Energy relative to the elements in eV/atom: 0.2798
D(E_F) in states/eV/cell: 44.84

***

Density functional theory data (GGA-PBE) for a geometry-optimized NaV2Ru structure.

Lattice parameters (Å, degrees): 7.0563 7.0563 5.4730 90.00 90.00 90.00
Space group I-42d (No. 122)
Inequivalent atoms, fractional coordinates:
Na (0.0000, 0.0000, 0.0000)
V (0.2024, 0.2500, 0.6250)
Ru (0.0000, 0.0000, 0.5000)

Results
Offset from the most stable computed form in eV per atom: 0.243
Spin magnetization in μB/atom: 0.0002
Energy relative to the elements in eV/atom: 0.8675
D(E_F) in states/eV/cell: 20.44

***

Density functional theory data (GGA-PBE) for a geometry-optimized CeEr6Sc4 structure.

Lattice parameters (Å, degrees): 6.2657 6.2657 16.5832 90.00 90.00 90.00
Space group I-42m (No. 121)
Inequivalent atoms, fractional coordinates:
Ce (0.0000, 0.0000, 0.0000)
Er (0.0000, 0.5000, 0.0000)
Er (0.1895, 0.1895, 0.1796)
Sc (0.1817, 0.1817, 0.3727)

Results
Spin magnetization in μB/atom: 0.0027
Energy relative to the elements in eV/atom: 0.3342
D(E_F) in states/eV/cell: 43.25

***

Density functional theory data (GGA-PBE) for a geometry-optimized ZnCrOs3 structure.

Lattice parameters (Å, degrees): 4.3995 4.3995 4.3995 90.00 90.00 90.00
Space group Pm-3m (No. 221)
Inequivalent atoms, fractional coordinates:
Zn (0.0000, 0.0000, 0.0000)
Cr (0.5000, 0.5000, 0.5000)
Os (0.0000, 0.0000, 0.5000)

Results
Offset from the most stable computed form in eV per atom: 0.587
Spin magnetization in μB/atom: 0.0000
Energy relative to the elements in eV/atom: 2.2600
D(E_F) in states/eV/cell: 8.06

***

Density functional theory data (GGA-PBE) for a geometry-optimized CrRe2Te structure.

Lattice parameters (Å, degrees): 3.0746 4.6823 9.3520 90.00 90.00 90.00
Space group Cmmm (No. 65)
Inequivalent atoms, fractional coordinates:
Cr (0.0000, 0.0000, 0.0000)
Re (0.0000, 0.5000, 0.2086)
Te (0.0000, 0.0000, 0.5000)

Results
Spin magnetization in μB/atom: 0.0028
Formation energy (no corrections) in meV/atom: 807
D(E_F) in states/eV/cell: 7.61